# NaCrCd2F8 PBE with a Hubbard U optimized geometry
# Theoretical density (g cm⁻³): 4.3
# Final energy (eV per cell): -55.46
# SG: P2/m, No. 10
data_NaCrCd2F8
_cell_length_a 5.014
_cell_length_b 6.954
_cell_length_c 5.047
_cell_angle_alpha 90.00
_cell_angle_beta 90.24
_cell_angle_gamma 90.00
_space_group_name_H-M_alt 'P 1'
_space_group_IT_number 1
loop_
_space_group_symop_operation_xyz
'x,y,z'
loop_
_atom_site_label
_atom_site_type_symbol
_atom_site_fract_x
_atom_site_fract_y
_atom_site_fract_z
_atom_site_occupancy
Na1 Na 0.000 0.000 0.000 1
Cr1 Cr 0.000 0.500 0.000 1
Cd1 Cd 0.500 0.250 0.500 1
Cd2 Cd 0.500 0.750 0.500 1
F1 F 0.190 0.294 0.820 1
F2 F 0.190 0.706 0.820 1
F3 F 0.275 0.500 0.284 1
F4 F 0.302 0.000 0.312 1
F5 F 0.698 0.000 0.688 1
F6 F 0.725 0.500 0.716 1
F7 F 0.810 0.294 0.180 1
F8 F 0.810 0.706 0.180 1